1.
# CuHg2Os

Crystalline CuHg2Os at its relaxed geometry (PBE, the Alexandria database).

## Properties
Energy of formation   77.1 kJ per mole of atoms
Energy above the lowest structure with this stoichiometry   0.203 eV per atom

extended XYZ file:
```
4
Lattice="0.000 3.258 3.258 3.258 0.000 3.258 3.258 3.258 0.000" Properties=species:S:1:pos:R:3 pbc="T T T"
Cu 0.000 0.000 0.000
Hg 4.888 4.888 4.888
Os 3.258 3.258 3.258
Hg 1.629 1.629 1.629
```

---

2.
# Er2Ge2AsRh5

Crystalline Er2Ge2AsRh5 at its relaxed geometry (PBE, the Alexandria database).

## Properties
Energy of formation   -72.3 kJ per mole of atoms

extended XYZ file:
```
20
Lattice="-0.398 3.453 0.848 -6.542 -2.417 6.768 7.104 -0.798 6.583" Properties=species:S:1:pos:R:3 pbc="T T T"
Ge -1.574 -1.007 3.361
Ge 3.622 -0.799 4.952
Rh 3.353 1.327 3.715
Rh -1.078 1.174 2.260
Er -0.609 -2.533 10.027
Ge 2.136 -2.207 9.990
Rh 1.115 -0.206 8.910
Rh -3.470 0.518 3.808
Rh 5.002 0.933 6.097
Er -3.173 -1.769 5.713
Rh 1.907 0.565 6.139
Ge -3.060 -2.416 8.399
Rh 1.242 -0.936 11.938
Rh -4.838 -0.694 8.102
Rh -0.950 0.445 5.289
As 0.281 -1.607 6.675
As 0.000 0.000 0.000
Er 1.172 -0.681 3.324
Rh -1.742 -0.327 8.060
Er 3.735 -1.445 7.638
```

---

3.
# Mg2NiSb

Crystalline Mg2NiSb at its relaxed geometry (PBE, the Alexandria database).

## Properties
Formation energy from raw total energies   0.126 eV per atom

extended XYZ file:
```
8
Lattice="4.114 0.000 0.000 0.000 4.114 0.000 2.057 2.057 9.576" Properties=species:S:1:pos:R:3 pbc="T T T"
Mg 5.142 5.048 7.182
Sb 0.000 0.000 0.000
Sb 4.114 2.057 4.788
Ni 2.057 4.114 4.788
Mg 2.992 1.028 2.394
Mg 3.085 3.179 7.182
Mg 1.122 3.085 2.394
Ni 2.057 2.057 0.000
```

---

4.
# PmPa2Re

Crystalline PmPa2Re at its relaxed geometry (PBE, the Alexandria database).

## Properties
Energy of formation   13.9 kJ per mole of atoms
Energy above the lowest structure with this stoichiometry   0.000 eV per atom

extended XYZ file:
```
4
Lattice="3.336 0.000 0.000 0.000 3.336 0.000 0.000 0.000 8.936" Properties=species:S:1:pos:R:3 pbc="T T T"
Pa 0.000 0.000 1.797
Pa 0.000 0.000 7.139
Re 1.668 1.668 0.000
Pm 1.668 1.668 4.468
```

---

5.
# HfCu

Crystalline HfCu at its relaxed geometry (PBE, the Alexandria database).

## Properties
Energy of formation   -4.3 kJ per mole of atoms

extended XYZ file:
```
12
Lattice="10.102 0.000 0.000 0.000 3.565 0.000 0.000 0.000 5.821" Properties=species:S:1:pos:R:3 pbc="T T T"
Hf 3.209 1.783 4.087
Hf 6.892 1.783 4.087
Cu 1.281 0.000 3.754
Hf 0.000 1.783 5.244
Cu 6.332 1.783 0.843
Hf 8.260 0.000 1.176
Cu 0.000 1.783 2.370
Cu 3.770 1.783 0.843
Hf 5.051 0.000 2.334
Cu 8.821 0.000 3.754
Hf 1.842 0.000 1.176
Cu 5.051 0.000 5.280
```

---

6.
# AlV2W6

Crystalline AlV2W6 at its relaxed geometry (PBE, the Alexandria database).

## Properties
Energy of formation   -2.8 kJ per mole of atoms

extended XYZ file:
```
9
Lattice="4.344 -0.401 -0.883 -0.533 3.162 -4.056 -0.183 0.067 10.272" Properties=species:S:1:pos:R:3 pbc="T T T"
Al 0.000 0.000 0.000
W 0.971 2.028 3.856
V 3.651 0.108 6.687
W 3.157 0.436 4.110
W 0.471 2.391 1.222
W 1.473 1.611 6.503
V -0.023 2.719 -1.354
W 2.656 0.799 1.477
W 2.155 1.216 -1.170
```

---

7.
# NaHfP2

Crystalline NaHfP2 at its relaxed geometry (PBE, the Alexandria database).

## Properties
Energy of formation   -30.5 kJ per mole of atoms
Energy above the lowest structure with this stoichiometry   0.343 eV per atom

extended XYZ file:
```
8
Lattice="-6.605 -2.419 -0.877 1.590 -5.736 3.849 -3.482 -2.445 4.322" Properties=species:S:1:pos:R:3 pbc="T T T"
P -6.959 -9.117 5.940
Hf 0.000 0.000 0.000
Na -2.200 -6.130 4.828
P -0.533 -4.437 3.399
Na -2.507 -4.078 1.486
P -4.533 -4.745 4.257
Hf -6.297 -4.471 2.465
P -4.969 -2.903 0.991
```

---

8.
# SrP2CCl

Crystalline SrP2CCl at its relaxed geometry (PBE, the Alexandria database).

## Properties
Formation energy from raw total energies   0.065 eV per atom
Energy above the lowest structure with this stoichiometry   0.000 eV per atom

extended XYZ file:
```
5
Lattice="3.984 0.000 0.000 0.000 3.984 0.000 0.000 0.000 6.229" Properties=species:S:1:pos:R:3 pbc="T T T"
Sr 1.992 1.992 3.115
P 1.992 0.000 0.000
P 0.000 1.992 0.000
Cl 0.000 0.000 3.115
C 0.000 0.000 0.000
```